The following is a PBE-GGA calculation of a geometry-optimized BBr2O structure, from the Alexandria database.

Total DFT energy (no corrections), eV/f.u.: -8.282
M_tot, μB per formula unit: 0.0
Relative energy among the computed polymorphs, eV per atom: 0.971
Uncorrected formation energy, eV/atom: 1.675

Cell: 4.380 4.380 4.380 Å, 60.00 60.00 60.00°
Element x y z (fractional)
Br 0.250 0.250 0.250
Br 0.750 0.750 0.750
B 0.000 0.000 0.000
O 0.500 0.500 0.500